No. 1
Below is crystalline CrRh2WBr at its relaxed geometry, with properties calculated at the PBEsol level.

For the electronic total energy, the calculation gives -6.858 eV/atom. The formation energy (no corrections) is 1.581 eV/atom.

It has space group P4/mmm (No. 123), with a = 4.4723 Å, b = 4.4723 Å, c = 4.5612 Å, α = 90.00°, β = 90.00° and γ = 90.00°. Symmetry generates all atoms from Cr at (0.0000, 0.0000, 0.0000), Rh at (0.0000, 0.5000, 0.5000), W at (0.5000, 0.5000, 0.0000) and Br at (0.5000, 0.5000, 0.5000).

No. 2
Below is crystalline ZrCrRh2Br at its relaxed geometry, with properties calculated at the PBEsol level.

For the electronic total energy, the calculation gives -6.869 eV/atom. The formation energy (no corrections) is 0.627 eV/atom.

It has space group P4/mmm (No. 123), with a = 4.4491 Å, b = 4.4491 Å, c = 4.5627 Å, α = 90.00°, β = 90.00° and γ = 90.00°. Symmetry generates all atoms from Zr at (0.0000, 0.0000, 0.0000), Cr at (0.5000, 0.5000, 0.5000), Rh at (0.0000, 0.5000, 0.5000) and Br at (0.5000, 0.5000, 0.0000).

No. 3
Below is crystalline CrRu3Br at its relaxed geometry, with properties calculated at the PBEsol level.

For the electronic total energy, the calculation gives -6.879 eV/atom. The formation energy (no corrections) is 1.647 eV/atom.

It has space group Pm-3m (No. 221), with a = 4.4286 Å, b = 4.4286 Å, c = 4.4286 Å, α = 90.00°, β = 90.00° and γ = 90.00°. Symmetry generates all atoms from Cr at (0.0000, 0.0000, 0.0000), Ru at (0.0000, 0.0000, 0.5000) and Br at (0.5000, 0.5000, 0.5000).

No. 4
Below is crystalline CrRuBr2 at its relaxed geometry, with properties calculated at the PBEsol level.

The energy above the most stable polymorph in this dataset is 0.000 eV/atom. For the electronic total energy, the calculation gives -5.428 eV/atom. The formation energy (no corrections) is 0.610 eV/atom.

It has space group R-3m (No. 166, hexagonal axes), with a = 3.1881 Å, b = 3.1881 Å, c = 24.1149 Å, α = 90.00°, β = 90.00° and γ = 120.00°. Symmetry generates all atoms from Cr at (0.0000, 0.0000, 0.0000), Ru at (0.0000, 0.0000, 0.5000) and Br at (0.0000, 0.0000, 0.4016).

No. 5
Below is crystalline CrRuBr2 at its relaxed geometry, with properties calculated at the PBEsol level.

The energy above the most stable polymorph in this dataset is 0.149 eV/atom. For the electronic total energy, the calculation gives -5.279 eV/atom. The formation energy (no corrections) is 0.759 eV/atom.

It has space group P4/mmm (No. 123), with a = 3.2596 Å, b = 3.2596 Å, c = 6.5386 Å, α = 90.00°, β = 90.00° and γ = 90.00°. Symmetry generates all atoms from Cr at (0.0000, 0.0000, 0.0000), Ru at (0.0000, 0.0000, 0.5000) and Br at (0.5000, 0.5000, 0.2479).

No. 6
Below is crystalline CrRuBr2 at its relaxed geometry, with properties calculated at the PBEsol level.

The energy above the most stable polymorph in this dataset is 0.108 eV/atom. For the electronic total energy, the calculation gives -5.320 eV/atom. The formation energy (no corrections) is 0.719 eV/atom.

It has space group C2/m (No. 12), with a = 6.2523 Å, b = 8.2070 Å, c = 3.4326 Å, α = 90.00°, β = 120.94° and γ = 90.00°. Symmetry generates all atoms from Cr at (0.0000, 0.0000, 0.0000), Ru at (0.0000, 0.5000, 0.0000) and Br at (0.2500, 0.2500, 0.0000).

| no. | density of states at the Fermi level (states/eV per cell) |
| --- | --- |
| 1 | 3.3 |
| 2 | 5.9 |
| 3 | 8.5 |
| 4 | 11.1 |
| 5 | 2.6 |
| 6 | 7.9 |